# 1
Density functional theory data (PBE-GGA) for a relaxed CdPd2Pt crystal.

Cell: 9.913 9.913 9.913 Å, 157.36 157.36 32.23°
Fractional positions:
Cd: 0.000 0.000 0.000
Cd: 0.750 0.250 0.500
Pd: 0.135 0.625 0.010
Pd: 0.375 0.385 0.510
Pd: 0.615 0.125 0.990
Pd: 0.875 0.865 0.490
Pt: 0.250 0.750 0.500
Pt: 0.500 0.500 0.000

Calculated values
E_form (eV/f.u.): 0.3
Energy (eV/cell): -34.05


# 2
Density functional theory data (PBE-GGA) for a relaxed CdPd7Pt3 crystal.

Cell: 6.760 6.760 4.855 Å, 111.00 111.00 90.93°
Fractional positions:
Cd: 0.000 0.000 0.000
Pd: 0.000 0.000 0.500
Pd: 0.094 0.560 0.827
Pd: 0.326 0.326 0.327
Pd: 0.440 0.906 0.173
Pd: 0.560 0.094 0.827
Pd: 0.674 0.674 0.673
Pd: 0.906 0.440 0.173
Pt: 0.268 0.732 0.500
Pt: 0.500 0.500 0.000
Pt: 0.732 0.268 0.500

Calculated values
E_form (eV/f.u.): 2.2
Energy (eV/cell): -53.15
Offset from the most stable computed form (meV per atom): 210


> The highest E_form belongs to which entry?

CdPd7Pt3